No. 1
Density functional theory data (PBE) for a relaxed GaRu3S crystal.

## Properties
- total DFT energy (no corrections) (eV per atom) = -6.610
- ΔE to the lowest computed polymorph (eV per atom) = 0.000
- formation energy without anion corrections (eV/atom) = 0.386
- symmetry = Pm-3m, No. 221

The structure in CIF format:
```
data_GaRu3S
_chemical_formula_sum 'Ga1 Ru3 S1'
_symmetry_space_group_name_H-M 'P 1'
_symmetry_Int_Tables_number 1
_cell_length_a 4.3141
_cell_length_b 4.3141
_cell_length_c 4.3141
_cell_angle_alpha 90.00
_cell_angle_beta 90.00
_cell_angle_gamma 90.00
loop_
_symmetry_equiv_pos_as_xyz
'x,y,z'
loop_
_atom_site_label
_atom_site_fract_x
_atom_site_fract_y
_atom_site_fract_z
Ru1 0.0000 0.5000 0.0000
Ru2 0.0000 0.0000 0.5000
Ru3 0.5000 0.0000 0.0000
S1 0.0000 0.0000 0.0000
Ga1 0.5000 0.5000 0.5000
```


No. 2
Density functional theory data (PBE) for a relaxed Ce5Cd3Hg3 crystal.

## Properties
- total DFT energy (no corrections) (eV per atom) = -2.926
- formation energy from the elements (kJ/mol of formula units) = 110
- symmetry = P-62m, No. 189

The structure in CIF format:
```
data_Ce5Cd3Hg3
_chemical_formula_sum 'Ce5 Cd3 Hg3'
_symmetry_space_group_name_H-M 'P 1'
_symmetry_Int_Tables_number 1
_cell_length_a 3.1430
_cell_length_b 10.5093
_cell_length_c 10.5093
_cell_angle_alpha 120.00
_cell_angle_beta 90.00
_cell_angle_gamma 90.00
loop_
_symmetry_equiv_pos_as_xyz
'x,y,z'
loop_
_atom_site_label
_atom_site_fract_x
_atom_site_fract_y
_atom_site_fract_z
Ce1 0.5000 0.6667 0.3333
Ce2 0.5000 0.3333 0.6667
Ce3 0.5000 0.3531 0.0000
Ce4 0.5000 0.6469 0.6469
Ce5 0.5000 0.0000 0.3531
Cd1 0.5000 0.8426 0.0000
Cd2 0.5000 0.1574 0.1574
Cd3 0.5000 0.0000 0.8426
Hg1 0.0000 0.6103 0.0000
Hg2 0.0000 0.0000 0.6103
Hg3 0.0000 0.3897 0.3897
```


No. 3
Density functional theory data (PBE) for a relaxed Sm4Ho8Mg crystal.

## Properties
- total DFT energy (no corrections) (eV per atom) = -3.850
- formation energy from the elements (kJ/mol of formula units) = 679
- symmetry = Pm-3m, No. 221

The structure in CIF format:
```
data_Sm4Ho8Mg
_chemical_formula_sum 'Sm4 Ho8 Mg1'
_symmetry_space_group_name_H-M 'P 1'
_symmetry_Int_Tables_number 1
_cell_length_a 10.9139
_cell_length_b 10.9139
_cell_length_c 7.7183
_cell_angle_alpha 90.00
_cell_angle_beta 134.99
_cell_angle_gamma 120.00
loop_
_symmetry_equiv_pos_as_xyz
'x,y,z'
loop_
_atom_site_label
_atom_site_fract_x
_atom_site_fract_y
_atom_site_fract_z
Sm1 0.0000 0.0000 0.0000
Sm2 0.0000 0.5000 0.0000
Sm3 0.5000 0.5000 0.0000
Sm4 0.5000 0.0000 0.0000
Ho1 0.5139 0.7570 0.2709
Ho2 0.4861 0.2430 0.7291
Ho3 0.4863 0.2432 0.2434
Ho4 0.9998 0.2430 0.7566
Ho5 0.5137 0.7568 0.7566
Ho6 0.9998 0.7568 0.7566
Ho7 0.0002 0.2432 0.2434
Ho8 0.0002 0.7570 0.2434
Mg1 0.0000 0.5000 0.5000
```


No. 4
Density functional theory data (PBE) for a relaxed Sr2Li2Zn crystal.

## Properties
- total DFT energy (no corrections) (eV per atom) = -1.651
- ΔE to the lowest computed polymorph (eV per atom) = 0.107
- formation energy from the elements (kJ/mol of formula units) = 20
- symmetry = P4/mbm, No. 127

The structure in CIF format:
```
data_Sr2Li2Zn
_chemical_formula_sum 'Sr4 Li4 Zn2'
_symmetry_space_group_name_H-M 'P 1'
_symmetry_Int_Tables_number 1
_cell_length_a 7.7280
_cell_length_b 7.7280
_cell_length_c 5.2337
_cell_angle_alpha 90.00
_cell_angle_beta 90.00
_cell_angle_gamma 90.00
loop_
_symmetry_equiv_pos_as_xyz
'x,y,z'
loop_
_atom_site_label
_atom_site_fract_x
_atom_site_fract_y
_atom_site_fract_z
Sr1 0.1853 0.6853 0.5000
Sr2 0.6853 0.8147 0.5000
Sr3 0.8147 0.3147 0.5000
Sr4 0.3147 0.1853 0.5000
Zn1 0.0000 0.0000 0.0000
Zn2 0.5000 0.5000 0.0000
Li1 0.3690 0.8690 0.0000
Li2 0.8690 0.6310 0.0000
Li3 0.6310 0.1310 0.0000
Li4 0.1310 0.3690 0.0000
```


No. 5
Density functional theory data (PBE) for a relaxed Cs2TbCd2Te4 crystal.

## Properties
- total DFT energy (no corrections) (eV per atom) = -3.199
- formation energy without anion corrections (eV/atom) = -0.895
- symmetry = C2/m, No. 12

The structure in CIF format:
```
data_Cs2TbCd2Te4
_chemical_formula_sum 'Cs2 Tb1 Cd2 Te4'
_symmetry_space_group_name_H-M 'P 1'
_symmetry_Int_Tables_number 1
_cell_length_a 4.5532
_cell_length_b 9.2780
_cell_length_c 9.2249
_cell_angle_alpha 111.57
_cell_angle_beta 104.29
_cell_angle_gamma 90.00
loop_
_symmetry_equiv_pos_as_xyz
'x,y,z'
loop_
_atom_site_label
_atom_site_fract_x
_atom_site_fract_y
_atom_site_fract_z
Cs1 0.1283 0.5679 0.2566
Cs2 0.8717 0.4321 0.7434
Tb1 0.0000 0.0000 0.0000
Cd1 0.6871 0.0017 0.3742
Cd2 0.3129 0.9983 0.6258
Te1 0.1849 0.2029 0.3698
Te2 0.8151 0.7971 0.6302
Te3 0.5216 0.7829 0.0432
Te4 0.4784 0.2171 0.9568
```


No. 6
Density functional theory data (PBE) for a relaxed LiPr3Mg4 crystal.

## Properties
- total DFT energy (no corrections) (eV per atom) = -2.905
- formation energy from the elements (kJ/mol of formula units) = -59
- symmetry = P4/mmm, No. 123

The structure in CIF format:
```
data_LiPr3Mg4
_chemical_formula_sum 'Li1 Pr3 Mg4'
_symmetry_space_group_name_H-M 'P 1'
_symmetry_Int_Tables_number 1
_cell_length_a 3.8326
_cell_length_b 3.8326
_cell_length_c 15.3333
_cell_angle_alpha 90.00
_cell_angle_beta 90.00
_cell_angle_gamma 90.00
loop_
_symmetry_equiv_pos_as_xyz
'x,y,z'
loop_
_atom_site_label
_atom_site_fract_x
_atom_site_fract_y
_atom_site_fract_z
Pr1 0.5000 0.5000 0.2432
Pr2 0.5000 0.5000 0.5000
Pr3 0.5000 0.5000 0.7568
Mg1 0.0000 0.0000 0.8951
Mg2 0.0000 0.0000 0.1049
Mg3 0.0000 0.0000 0.3710
Mg4 0.0000 0.0000 0.6290
Li1 0.5000 0.5000 0.0000
```


No. 7
Density functional theory data (PBE) for a relaxed Li2ScHg crystal.

## Properties
- total DFT energy (no corrections) (eV per atom) = -2.772
- formation energy from the elements (kJ/mol of formula units) = -61
- symmetry = P4mm, No. 99

The structure in CIF format:
```
data_Li2ScHg
_chemical_formula_sum 'Li2 Sc1 Hg1'
_symmetry_space_group_name_H-M 'P 1'
_symmetry_Int_Tables_number 1
_cell_length_a 3.4223
_cell_length_b 3.4230
_cell_length_c 6.8754
_cell_angle_alpha 90.00
_cell_angle_beta 90.00
_cell_angle_gamma 90.00
loop_
_symmetry_equiv_pos_as_xyz
'x,y,z'
loop_
_atom_site_label
_atom_site_fract_x
_atom_site_fract_y
_atom_site_fract_z
Hg1 0.5000 0.5000 0.7704
Li1 0.0000 0.0000 0.9965
Li2 0.5000 0.5000 0.2155
Sc1 0.0000 0.0000 0.5176
```


No. 8
Density functional theory data (PBE) for a relaxed Ac3BiP2Pt9 crystal.

## Properties
- total DFT energy (no corrections) (eV per atom) = -6.118
- formation energy from the elements (kJ/mol of formula units) = -1002
- symmetry = P-3m1, No. 164

The structure in CIF format:
```
data_Ac3BiP2Pt9
_chemical_formula_sum 'Ac3 Bi1 P2 Pt9'
_symmetry_space_group_name_H-M 'P 1'
_symmetry_Int_Tables_number 1
_cell_length_a 7.3732
_cell_length_b 7.3732
_cell_length_c 7.2326
_cell_angle_alpha 90.00
_cell_angle_beta 90.00
_cell_angle_gamma 120.00
loop_
_symmetry_equiv_pos_as_xyz
'x,y,z'
loop_
_atom_site_label
_atom_site_fract_x
_atom_site_fract_y
_atom_site_fract_z
Ac1 0.3333 0.6667 0.6590
Ac2 0.0000 0.0000 0.0000
Ac3 0.6667 0.3333 0.3410
Bi1 0.0000 0.0000 0.5000
P1 0.3333 0.6667 0.1259
P2 0.6667 0.3333 0.8741
Pt1 0.8158 0.1842 0.6953
Pt2 0.8158 0.6317 0.6953
Pt3 0.3683 0.1842 0.6953
Pt4 0.6317 0.8158 0.3047
Pt5 0.1842 0.3683 0.3047
Pt6 0.1842 0.8158 0.3047
Pt7 0.5000 0.0000 0.0000
Pt8 0.0000 0.5000 0.0000
Pt9 0.5000 0.5000 0.0000
```


no.,total moment (μB per cell)
1,0.0
2,7.1
3,0.0
4,0.0
5,0.0
6,0.0
7,0.4
8,0.0